MnZn2Te PBE relaxed; SG = I-42d; ΔE_f (raw) = 250 meV per atom; calculated volume = 20.565 Å³/atom; total magnetization = 1.04 μB/atom
1.0
7.798 0.000 0.000
0.000 7.798 0.000
0.000 0.000 5.411
Mn Zn Te
4 8 4
direct
0.000 0.000 0.000
0.000 0.500 0.250
0.500 0.000 0.750
0.500 0.500 0.500
0.244 0.250 0.125
0.250 0.744 0.375
0.250 0.756 0.875
0.256 0.250 0.625
0.744 0.750 0.625
0.750 0.244 0.875
0.750 0.256 0.375
0.756 0.750 0.125
0.000 0.000 0.500
0.000 0.500 0.750
0.500 0.000 0.250
0.500 0.500 0.000


MnZnTe2 PBE relaxed; SG = C2/m; ΔE_f (raw) = -116 meV per atom; calculated volume = 23.817 Å³/atom; total magnetization = 1.07 μB/atom
1.0
6.957 0.000 0.000
0.000 4.023 0.000
-2.319 0.000 6.808
Mn Zn Te
2 2 4
direct
0.000 0.000 0.000
0.500 0.500 0.000
0.000 0.500 0.500
0.500 0.000 0.500
0.246 0.500 0.241
0.254 0.000 0.759
0.746 0.000 0.241
0.754 0.500 0.759


Mn2ZnTe4 PBE relaxed; SG = Fd-3m; ΔE_f (raw) = -228 meV per atom; calculated volume = 27.259 Å³/atom; total magnetization = 1.12 μB/atom
1.0
0.000 5.757 5.757
5.757 0.000 5.757
5.757 5.757 0.000
Mn Zn Te
4 2 8
direct
0.000 0.000 0.000
0.000 0.000 0.500
0.000 0.500 0.000
0.500 0.000 0.000
0.375 0.375 0.375
0.625 0.625 0.625
0.223 0.759 0.759
0.241 0.241 0.241
0.241 0.241 0.777
0.241 0.777 0.241
0.759 0.223 0.759
0.759 0.759 0.223
0.759 0.759 0.759
0.777 0.241 0.241


MnZn2Te PBE relaxed; SG = P4/mmm; ΔE_f (raw) = 250 meV per atom; calculated volume = 19.966 Å³/atom; total magnetization = 0.68 μB/atom
1.0
2.948 0.000 0.000
0.000 2.948 0.000
0.000 0.000 9.191
Mn Zn Te
1 2 1
direct
0.000 0.000 0.000
0.500 0.500 0.171
0.500 0.500 0.829
0.000 0.000 0.500


MnZnTe2 PBE relaxed; SG = P-4m2; ΔE_f (raw) = -270 meV per atom; calculated volume = 30.710 Å³/atom; total magnetization = 1.25 μB/atom
1.0
4.424 0.000 0.000
0.000 4.424 0.000
0.000 0.000 6.277
Mn Zn Te
1 1 2
direct
0.000 0.000 0.000
0.500 0.500 0.500
0.000 0.500 0.256
0.500 0.000 0.744


MnZn2Te PBE relaxed; SG = R3m; ΔE_f (raw) = 213 meV per atom; calculated volume = 19.750 Å³/atom; total magnetization = 0.79 μB/atom
1.0
3.413 0.000 0.000
-1.707 2.956 0.000
0.000 0.000 23.493
Mn Zn Te
3 6 3
direct
0.000 0.000 0.000
0.333 0.667 0.667
0.667 0.333 0.333
0.000 0.000 0.256
0.000 0.000 0.516
0.333 0.667 0.183
0.333 0.667 0.923
0.667 0.333 0.589
0.667 0.333 0.850
0.000 0.000 0.742
0.333 0.667 0.409
0.667 0.333 0.075


MnZn2Te3 PBE relaxed; SG = Cc; ΔE_f (raw) = -341 meV per atom; calculated volume = 30.196 Å³/atom; total magnetization = 0.83 μB/atom
1.0
3.812 -6.611 0.000
3.812 6.611 0.000
-2.534 0.000 7.190
Mn Zn Te
2 4 6
direct
0.084 0.916 0.500
0.916 0.084 0.000
0.252 0.749 0.001
0.417 0.583 0.500
0.583 0.417 0.000
0.749 0.252 0.501
0.042 0.213 0.379
0.213 0.042 0.879
0.380 0.874 0.374
0.538 0.704 0.874
0.704 0.538 0.374
0.874 0.380 0.874


Mn2ZnTe PBE relaxed; SG = I-4m2; energy above the lowest structure with this stoichiometry = 37 meV per atom; ΔE_f (raw) = 228 meV per atom; calculated volume = 16.756 Å³/atom; total magnetization = 1.71 μB/atom
1.0
3.892 0.000 0.000
0.000 3.892 0.000
0.000 0.000 8.852
Mn Zn Te
4 2 2
direct
0.000 0.000 0.000
0.000 0.500 0.250
0.500 0.000 0.750
0.500 0.500 0.500
0.000 0.000 0.500
0.500 0.500 0.000
0.000 0.500 0.750
0.500 0.000 0.250


Mn2ZnTe PBE relaxed; SG = P4/mmm; energy above the lowest structure with this stoichiometry = 55 meV per atom; ΔE_f (raw) = 246 meV per atom; calculated volume = 16.663 Å³/atom; total magnetization = 1.69 μB/atom
1.0
4.134 0.000 0.000
0.000 4.134 0.000
0.000 0.000 3.901
Mn Zn Te
2 1 1
direct
0.000 0.500 0.000
0.500 0.000 0.000
0.000 0.000 0.500
0.500 0.500 0.500


MnZnTe3 PBE relaxed; SG = Pm-3m; energy above the lowest structure with this stoichiometry = 109 meV per atom; ΔE_f (raw) = 635 meV per atom; calculated volume = 29.315 Å³/atom; total magnetization = 0.95 μB/atom
1.0
5.273 0.000 0.000
0.000 5.273 0.000
0.000 0.000 5.273
Mn Zn Te
1 1 3
direct
0.000 0.000 0.000
0.500 0.500 0.500
0.000 0.500 0.500
0.500 0.000 0.500
0.500 0.500 0.000


Mn2ZnTe PBE relaxed; SG = P4mm; energy above the lowest structure with this stoichiometry = 0 meV per atom; ΔE_f (raw) = 191 meV per atom; calculated volume = 17.228 Å³/atom; total magnetization = 1.69 μB/atom
1.0
3.539 0.000 0.000
0.000 3.539 0.000
0.000 0.000 5.503
Mn Zn Te
2 1 1
direct
0.000 0.000 0.000
0.500 0.500 0.261
0.500 0.500 0.807
0.000 0.000 0.486


MnZn2Te PBE relaxed; SG = F-43m; ΔE_f (raw) = 330 meV per atom; calculated volume = 19.003 Å³/atom; total magnetization = 0.89 μB/atom
1.0
6.724 0.000 0.000
0.000 6.724 0.000
0.000 0.000 6.724
Mn Zn Te
4 8 4
direct
0.000 0.000 0.000
0.000 0.500 0.500
0.500 0.000 0.500
0.500 0.500 0.000
0.000 0.000 0.500
0.000 0.500 0.000
0.250 0.250 0.750
0.250 0.750 0.250
0.500 0.000 0.000
0.500 0.500 0.500
0.750 0.250 0.250
0.750 0.750 0.750
0.250 0.250 0.250
0.250 0.750 0.750
0.750 0.250 0.750
0.750 0.750 0.250


MnZnTe2 PBE relaxed; SG = Immm; ΔE_f (raw) = 139 meV per atom; calculated volume = 32.648 Å³/atom; total magnetization = 1.15 μB/atom
1.0
3.892 0.000 0.000
0.000 7.772 0.000
0.000 0.000 8.634
Mn Zn Te
2 2 4
direct
0.000 0.000 0.000
0.500 0.500 0.500
0.000 0.500 0.000
0.500 0.000 0.500
0.000 0.256 0.500
0.000 0.744 0.500
0.500 0.244 0.000
0.500 0.756 0.000


MnZnTe2 PBE relaxed; SG = C2/m; ΔE_f (raw) = 161 meV per atom; calculated volume = 24.727 Å³/atom; total magnetization = 1.10 μB/atom
1.0
6.600 0.000 0.000
0.000 7.940 0.000
-1.827 0.000 3.775
Mn Zn Te
2 2 4
direct
0.000 0.000 0.000
0.500 0.500 0.000
0.000 0.500 0.000
0.500 0.000 0.000
0.250 0.250 0.500
0.250 0.750 0.500
0.750 0.250 0.500
0.750 0.750 0.500


MnZn2Te PBE relaxed; SG = P4mm; ΔE_f (raw) = 155 meV per atom; calculated volume = 18.200 Å³/atom; total magnetization = 0.80 μB/atom
1.0
3.596 0.000 0.000
0.000 3.596 0.000
0.000 0.000 5.630
Mn Zn Te
1 2 1
direct
0.000 0.000 0.000
0.000 0.000 0.534
0.500 0.500 0.731
0.500 0.500 0.215


Mn4ZnTe PBE relaxed; SG = F-43m; ΔE_f (raw) = 411 meV per atom; calculated volume = 14.038 Å³/atom; total magnetization = 1.14 μB/atom
1.0
0.000 3.479 3.479
3.479 0.000 3.479
3.479 3.479 0.000
Mn Zn Te
4 1 1
direct
0.376 0.376 0.376
0.376 0.376 0.871
0.376 0.871 0.376
0.871 0.376 0.376
0.750 0.750 0.750
0.000 0.000 0.000


MnZnTe4 PBE relaxed; SG = P2_1/c; energy above the lowest structure with this stoichiometry = 0 meV per atom; ΔE_f (raw) = -138 meV per atom; calculated volume = 25.782 Å³/atom; total magnetization = 0.50 μB/atom
1.0
6.741 0.000 0.000
0.000 6.796 0.000
-0.053 0.000 6.753
Mn Zn Te
2 2 8
direct
0.000 0.000 0.000
0.000 0.500 0.500
0.500 0.000 0.500
0.500 0.500 0.000
0.110 0.138 0.362
0.110 0.362 0.862
0.364 0.613 0.383
0.364 0.887 0.883
0.636 0.113 0.117
0.636 0.387 0.617
0.890 0.638 0.138
0.890 0.862 0.638


MnZnTe2 PBE relaxed; SG = P4/mmm; ΔE_f (raw) = 267 meV per atom; calculated volume = 22.642 Å³/atom; total magnetization = 1.08 μB/atom
1.0
5.015 0.000 0.000
0.000 5.015 0.000
0.000 0.000 3.601
Mn Zn Te
1 1 2
direct
0.000 0.000 0.000
0.500 0.500 0.000
0.000 0.500 0.500
0.500 0.000 0.500


Mn2ZnTe PBE relaxed; SG = I-42d; energy above the lowest structure with this stoichiometry = 271 meV per atom; ΔE_f (raw) = 462 meV per atom; calculated volume = 19.131 Å³/atom; total magnetization = 1.77 μB/atom
1.0
4.108 0.000 0.000
0.000 4.108 0.000
0.000 0.000 18.135
Mn Zn Te
8 4 4
direct
0.242 0.250 0.125
0.250 0.742 0.375
0.250 0.758 0.875
0.258 0.250 0.625
0.742 0.750 0.625
0.750 0.242 0.875
0.750 0.258 0.375
0.758 0.750 0.125
0.000 0.000 0.000
0.000 0.500 0.250
0.500 0.000 0.750
0.500 0.500 0.500
0.000 0.000 0.500
0.000 0.500 0.750
0.500 0.000 0.250
0.500 0.500 0.000


MnZn2Te PBE relaxed; SG = P4/mmm; ΔE_f (raw) = 184 meV per atom; calculated volume = 18.370 Å³/atom; total magnetization = 0.86 μB/atom
1.0
3.726 0.000 0.000
0.000 3.726 0.000
0.000 0.000 5.293
Mn Zn Te
1 2 1
direct
0.000 0.000 0.000
0.500 0.500 0.233
0.500 0.500 0.767
0.000 0.000 0.500


MnZn2Te PBE relaxed; SG = Cmmm; ΔE_f (raw) = 204 meV per atom; calculated volume = 19.245 Å³/atom; total magnetization = 0.98 μB/atom
1.0
5.272 0.000 0.000
0.000 7.728 0.000
0.000 0.000 3.779
Mn Zn Te
2 4 2
direct
0.000 0.000 0.000
0.500 0.500 0.000
0.250 0.250 0.500
0.250 0.750 0.500
0.750 0.250 0.500
0.750 0.750 0.500
0.000 0.500 0.000
0.500 0.000 0.000


Mn2ZnTe PBE relaxed; SG = Fm-3m; energy above the lowest structure with this stoichiometry = 227 meV per atom; ΔE_f (raw) = 418 meV per atom; calculated volume = 14.104 Å³/atom; total magnetization = 0.48 μB/atom
1.0
6.088 0.000 0.000
0.000 6.088 0.000
0.000 0.000 6.088
Mn Zn Te
8 4 4
direct
0.250 0.250 0.250
0.250 0.250 0.750
0.250 0.750 0.250
0.250 0.750 0.750
0.750 0.250 0.250
0.750 0.250 0.750
0.750 0.750 0.250
0.750 0.750 0.750
0.000 0.000 0.000
0.000 0.500 0.500
0.500 0.000 0.500
0.500 0.500 0.000
0.000 0.000 0.500
0.000 0.500 0.000
0.500 0.000 0.000
0.500 0.500 0.500


Mn2ZnTe PBE relaxed; SG = P4/mmm; energy above the lowest structure with this stoichiometry = 55 meV per atom; ΔE_f (raw) = 246 meV per atom; calculated volume = 17.361 Å³/atom; total magnetization = 1.82 μB/atom
1.0
3.450 0.000 0.000
0.000 3.450 0.000
0.000 0.000 5.834
Mn Zn Te
2 1 1
direct
0.000 0.000 0.234
0.000 0.000 0.766
0.500 0.500 0.000
0.500 0.500 0.500


MnZnTe2 PBE relaxed; SG = R3m; ΔE_f (raw) = -265 meV per atom; calculated volume = 30.790 Å³/atom; total magnetization = 1.25 μB/atom
1.0
4.432 0.000 0.000
-2.216 3.839 0.000
0.000 0.000 21.717
Mn Zn Te
3 3 6
direct
0.000 0.000 0.000
0.333 0.667 0.667
0.667 0.333 0.333
0.000 0.000 0.501
0.333 0.667 0.167
0.667 0.333 0.834
0.000 0.000 0.377
0.000 0.000 0.874
0.333 0.667 0.044
0.333 0.667 0.541
0.667 0.333 0.208
0.667 0.333 0.711


Mn2ZnTe PBE relaxed; SG = F-43m; energy above the lowest structure with this stoichiometry = 341 meV per atom; ΔE_f (raw) = 532 meV per atom; calculated volume = 18.050 Å³/atom; total magnetization = 1.84 μB/atom
1.0
6.610 0.000 0.000
0.000 6.610 0.000
0.000 0.000 6.610
Mn Zn Te
8 4 4
direct
0.000 0.000 0.000
0.000 0.500 0.500
0.250 0.250 0.250
0.250 0.750 0.750
0.500 0.000 0.500
0.500 0.500 0.000
0.750 0.250 0.750
0.750 0.750 0.250
0.000 0.000 0.500
0.000 0.500 0.000
0.500 0.000 0.000
0.500 0.500 0.500
0.250 0.250 0.750
0.250 0.750 0.250
0.750 0.250 0.250
0.750 0.750 0.750


Mn2ZnTe PBE relaxed; SG = Immm; energy above the lowest structure with this stoichiometry = 72 meV per atom; ΔE_f (raw) = 263 meV per atom; calculated volume = 16.985 Å³/atom; total magnetization = 1.77 μB/atom
1.0
4.085 0.000 0.000
0.000 4.113 0.000
0.000 0.000 8.087
Mn Zn Te
4 2 2
direct
0.000 0.000 0.250
0.000 0.000 0.750
0.500 0.500 0.250
0.500 0.500 0.750
0.000 0.500 0.000
0.500 0.000 0.500
0.000 0.500 0.500
0.500 0.000 0.000


MnZnTe2 PBE relaxed; SG = Amm2; ΔE_f (raw) = -116 meV per atom; calculated volume = 25.632 Å³/atom; total magnetization = 1.19 μB/atom
1.0
5.532 0.000 0.000
0.000 5.577 0.000
0.000 0.000 6.646
Mn Zn Te
2 2 4
direct
0.000 0.000 0.000
0.000 0.500 0.500
0.500 0.000 0.703
0.500 0.500 0.203
0.000 0.000 0.580
0.000 0.500 0.080
0.500 0.000 0.111
0.500 0.500 0.611


MnZnTe3 PBE relaxed; SG = Pm-3m; energy above the lowest structure with this stoichiometry = 0 meV per atom; ΔE_f (raw) = 527 meV per atom; calculated volume = 26.189 Å³/atom; total magnetization = 0.00 μB/atom
1.0
5.078 0.000 0.000
0.000 5.078 0.000
0.000 0.000 5.078
Mn Zn Te
1 1 3
direct
0.000 0.000 0.000
0.500 0.500 0.500
0.000 0.000 0.500
0.000 0.500 0.000
0.500 0.000 0.000